The following is a PBE calculation of a geometry-optimized Y5C3 structure, from Alexandria via LeMat-Bulk.

POSCAR file:
```
Y5C3
1.0
-2.588 -2.352 5.665
-0.041 -4.345 -5.043
3.423 -1.247 1.046
Y C
5 3
direct
0.000 0.000 0.000
0.000 0.500 0.000
0.500 0.000 0.000
0.296 0.296 0.500
0.704 0.704 0.500
0.500 0.500 0.000
0.840 0.160 0.500
0.160 0.840 0.500
```

Output
Its formation energy from the elements is 324 meV per atom. Its crystal system is orthorhombic. As for the distance to the lowest polymorph of the same formula: 254 meV/atom. The calculation puts the raw total energy at -7.175 eV per atom.

The following is a PBE calculation of a geometry-optimized Y4C7 structure, from Alexandria via LeMat-Bulk.

POSCAR file:
```
Y4C7
1.0
-5.164 -12.772 0.307
1.177 -0.560 -3.487
5.988 -2.405 0.643
Y C
8 14
direct
0.945 0.366 0.261
0.445 0.634 0.239
0.055 0.634 0.739
0.555 0.366 0.761
0.662 0.056 0.340
0.162 0.944 0.160
0.338 0.944 0.660
0.838 0.056 0.840
0.500 0.000 0.500
0.000 0.000 0.000
0.784 0.469 0.077
0.284 0.531 0.423
0.216 0.531 0.923
0.716 0.469 0.577
0.197 0.378 0.453
0.697 0.622 0.047
0.395 0.268 0.950
0.895 0.732 0.550
0.605 0.732 0.050
0.105 0.268 0.450
0.303 0.378 0.953
0.803 0.622 0.547
```

Output
Its formation energy from the elements is -279 meV per atom. Its crystal system is monoclinic. The calculation puts the raw total energy at -8.499 eV per atom.